VASP calculation (GGA+U) on an optimized crystal structure of NaCr2O4.

Calculated values
crystal system = triclinic
electronic total energy = -48.6 eV for the cell shown
excess energy over the best structure of this formula in the dataset = 0.026 eV/atom

Unit cell a=2.9888 b=5.1174 c=5.8618 alpha=72.29 beta=89.58 gamma=89.19
With the nearest neighbours (Å) after each atom.
Space group P-1 (No. 2)
One atom of each set of equivalent atoms:
Na: 0.0000 0.0000 0.0000 (multiplicity 1)  6 O 2.42-2.46
Cr: 0.0000 0.5000 0.5000 (multiplicity 1)  6 O 2.03
Cr: 0.5000 0.0000 0.5000 (multiplicity 1)  6 O 1.93-2.00
O: 0.0123 0.2180 0.3211 (multiplicity 2)  3 Cr 1.93-2.03
O: 0.4967 0.7425 0.3162 (multiplicity 2)  3 Cr 1.94-2.03